A plane-wave DFT calculation with PBE with a Hubbard U was carried out for an optimized crystal structure of HfFe2F11.

Values from the calculation:
* raw total energy: -78.9 eV per formula unit
* ρ: 4.59 Mg/m³
* total magnetic moment: 22.231 Bohr magnetons per cell

Lattice parameters (Å, degrees): 7.5183 7.8901 7.8901 74.14 61.55 61.55
Site moments in Bohr magnetons follow the coordinates.
Sites, in units of the cell vectors:
Hf 0.7500 0.7500 0.7500  0.05
Hf 0.2500 0.2500 0.2500  0.05
Fe 0.6617 0.6944 0.3056  4.49
Fe 0.3383 0.3056 0.6944  4.49
Fe 0.8383 0.1944 0.8056  4.49
Fe 0.1617 0.8056 0.1944  4.49
F 0.6502 0.7126 0.5555  0.09
F 0.3498 0.2874 0.4445  0.09
F 0.0817 0.5555 0.7126  0.09
F 0.8498 0.9445 0.7874  0.09
F 0.9183 0.4445 0.2874  0.09
F 0.1502 0.0555 0.2126  0.09
F 0.4183 0.7874 0.9445  0.09
F 0.5817 0.2126 0.0555  0.09
F 0.5000 0.5000 0.5000  0.55
F 0.0000 0.0000 0.0000  0.55
F 0.8932 0.8021 0.1979  0.32
F 0.1068 0.1979 0.8021  0.32
F 0.6068 0.3021 0.6979  0.32
F 0.3932 0.6979 0.3021  0.32
F 0.4618 0.9728 0.3112  0.09
F 0.5382 0.0272 0.6888  0.09
F 0.2542 0.3112 0.9728  0.09
F 0.0382 0.1888 0.5272  0.09
F 0.7458 0.6888 0.0272  0.09
F 0.9618 0.8112 0.4728  0.09
F 0.2458 0.5272 0.1888  0.09
F 0.7542 0.4728 0.8112  0.09